1.
Below is an optimized crystal structure of PrThRuPt, with properties calculated at the PBE level.

Lattice parameters (Å, degrees): 5.070 5.070 5.070 60.00 60.00 60.00
Positions (direct):
Pr1 0.250 0.250 0.250
Ru1 0.500 0.500 0.500
Pt1 0.000 0.000 0.000
Th1 0.750 0.750 0.750

Values from the calculation:
**ρ**: 12.06 g cm⁻³
**M_tot**: 0.00 μB per formula unit
**ΔH_f (0 K)**: -0.61 eV/atom
**Energy above the most stable polymorph in this dataset**: 164 meV per atom

***

2.
Below is an optimized crystal structure of Nb2InS, with properties calculated at the PBE level.

Lattice parameters (Å, degrees): 4.013 4.013 10.183 78.64 78.64 90.00
Positions (direct):
Nb1 0.616 0.125 0.250
Nb2 0.134 0.625 0.250
Nb3 0.375 0.384 0.750
Nb4 0.875 0.866 0.750
S1 0.500 0.500 0.000
S2 0.250 0.750 0.500
In1 0.000 0.000 0.000
In2 0.750 0.250 0.500

Values from the calculation:
**ρ**: 7.02 g cm⁻³
**M_tot**: 0.00 μB per formula unit
**Energy relative to the elements, uncorrected**: 0.25 eV/atom
**Energy above the most stable polymorph in this dataset**: 524 meV per atom

***

3.
Below is an optimized crystal structure of MgFeIr, with properties calculated at the PBE level.

Lattice parameters (Å, degrees): 4.278 4.278 2.798 90.00 90.00 120.00
Positions (direct):
Fe1 0.000 0.000 0.048
Ir1 0.667 0.333 0.271
Mg1 0.333 0.667 0.681

Values from the calculation:
**ρ**: 10.20 g cm⁻³
**M_tot**: 3.46 μB per formula unit
**ΔH_f (0 K)**: -0.05 eV/atom

***

4.
Below is an optimized crystal structure of Y8ZnGa3Te4, with properties calculated at the PBE level.

Lattice parameters (Å, degrees): 8.208 8.940 8.208 117.32 120.00 90.00
Positions (direct):
Y1 0.246 0.737 0.990
Y2 0.246 0.737 0.493
Y3 0.255 0.266 0.511
Y4 0.744 0.737 0.990
Y5 0.256 0.263 0.010
Y6 0.745 0.734 0.489
Y7 0.754 0.263 0.507
Y8 0.754 0.263 0.010
Zn1 0.000 0.500 0.000
Ga1 0.500 0.500 0.000
Ga2 0.500 0.500 0.500
Ga3 0.000 0.500 0.500
Te1 0.500 0.000 0.000
Te2 0.500 0.000 0.500
Te3 0.000 0.000 0.000
Te4 0.000 0.000 0.500

Values from the calculation:
**ρ**: 5.62 g cm⁻³
**M_tot**: 0.00 μB per formula unit
**Energy relative to the elements, uncorrected**: -0.92 eV/atom